Entry 1:
An optimized crystal structure of Ge3RuN, computed with GGA-PBE.

- Polymorph energy (0 for the lowest one): 296.6 meV per atom
- Energy relative to the elements, uncorrected: 1.065 eV per atom
- Crystal system: cubic
- SG: Pm-3m, No. 221

CIF file:
```
data_Ge3RuN
_space_group_name_H-M_alt 'P 1'
_space_group_IT_number 1
_cell_length_a 4.830
_cell_length_b 4.830
_cell_length_c 4.830
_cell_angle_alpha 90.00
_cell_angle_beta 90.00
_cell_angle_gamma 90.00
loop_
_space_group_symop_operation_xyz
'x,y,z'
loop_
_atom_site_label
_atom_site_fract_x
_atom_site_fract_y
_atom_site_fract_z
_atom_site_occupancy
Ge1 0.000 0.000 0.500 1
Ge2 0.000 0.500 0.000 1
Ge3 0.500 0.000 0.000 1
N1 0.500 0.500 0.500 1
Ru1 0.000 0.000 0.000 1
```

Entry 2:
An optimized crystal structure of CrTcHg2, computed with GGA-PBE.

- Polymorph energy (0 for the lowest one): 355.8 meV per atom
- Crystal system: cubic
- Formation enthalpy at 0 K: 2.73 eV per formula unit
- SG: F-43m, No. 216

CIF file:
```
data_CrTcHg2
_space_group_name_H-M_alt 'P 1'
_space_group_IT_number 1
_cell_length_a 4.685
_cell_length_b 4.685
_cell_length_c 4.685
_cell_angle_alpha 60.00
_cell_angle_beta 60.00
_cell_angle_gamma 60.00
loop_
_space_group_symop_operation_xyz
'x,y,z'
loop_
_atom_site_label
_atom_site_fract_x
_atom_site_fract_y
_atom_site_fract_z
_atom_site_occupancy
Cr1 0.500 0.500 0.500 1
Hg1 0.000 0.000 0.000 1
Hg2 0.250 0.250 0.250 1
Tc1 0.750 0.750 0.750 1
```

Entry 3:
An optimized crystal structure of BaGa2GeO6, computed with GGA-PBE.

- Energy relative to the elements, uncorrected: -2.000 eV per atom
- Crystal system: monoclinic
- SG: C2/c, No. 15

CIF file:
```
data_BaGa2GeO6
_space_group_name_H-M_alt 'P 1'
_space_group_IT_number 1
_cell_length_a 6.668
_cell_length_b 7.567
_cell_length_c 7.567
_cell_angle_alpha 79.95
_cell_angle_beta 66.16
_cell_angle_gamma 66.16
loop_
_space_group_symop_operation_xyz
'x,y,z'
loop_
_atom_site_label
_atom_site_fract_x
_atom_site_fract_y
_atom_site_fract_z
_atom_site_occupancy
Ge1 0.750 0.811 0.189 1
Ge2 0.250 0.189 0.811 1
O1 0.989 0.386 0.828 1
O2 0.611 0.619 0.732 1
O3 0.312 0.188 0.018 1
O4 0.688 0.812 0.982 1
O5 0.188 0.982 0.812 1
O6 0.489 0.828 0.386 1
O7 0.011 0.614 0.172 1
O8 0.511 0.172 0.614 1
O9 0.812 0.018 0.188 1
O10 0.889 0.268 0.381 1
O11 0.389 0.381 0.268 1
O12 0.111 0.732 0.619 1
Ba1 0.250 0.804 0.196 1
Ba2 0.750 0.196 0.804 1
Ga1 0.135 0.353 0.235 1
Ga2 0.635 0.235 0.353 1
Ga3 0.365 0.765 0.647 1
Ga4 0.865 0.647 0.765 1
```

Entry 4:
An optimized crystal structure of RbSe2NF, computed with GGA-PBE.

- Polymorph energy (0 for the lowest one): 801.0 meV per atom
- Energy relative to the elements, uncorrected: 1.371 eV per atom
- Crystal system: tetragonal
- SG: P4/mmm, No. 123

CIF file:
```
data_RbSe2NF
_space_group_name_H-M_alt 'P 1'
_space_group_IT_number 1
_cell_length_a 6.793
_cell_length_b 6.793
_cell_length_c 5.887
_cell_angle_alpha 90.00
_cell_angle_beta 90.00
_cell_angle_gamma 90.00
loop_
_space_group_symop_operation_xyz
'x,y,z'
loop_
_atom_site_label
_atom_site_fract_x
_atom_site_fract_y
_atom_site_fract_z
_atom_site_occupancy
Se1 0.500 0.000 0.000 1
Se2 0.000 0.500 0.000 1
Rb1 0.000 0.000 0.000 1
F1 0.500 0.500 0.500 1
N1 0.000 0.000 0.500 1
```

Entry 5:
An optimized crystal structure of CaZrZn2S, computed with GGA-PBE.

- Energy relative to the elements, uncorrected: 0.049 eV per atom
- Crystal system: tetragonal
- SG: P4/mmm, No. 123

CIF file:
```
data_CaZrZn2S
_space_group_name_H-M_alt 'P 1'
_space_group_IT_number 1
_cell_length_a 4.907
_cell_length_b 4.855
_cell_length_c 4.907
_cell_angle_alpha 90.00
_cell_angle_beta 90.00
_cell_angle_gamma 90.00
loop_
_space_group_symop_operation_xyz
'x,y,z'
loop_
_atom_site_label
_atom_site_fract_x
_atom_site_fract_y
_atom_site_fract_z
_atom_site_occupancy
Zn1 0.500 0.000 0.000 1
Zn2 0.000 0.000 0.500 1
S1 0.000 0.000 0.000 1
Zr1 0.000 0.500 0.000 1
Ca1 0.500 0.500 0.500 1
```

Entry 6:
An optimized crystal structure of Y6BiSe5, computed with GGA-PBE.

- Energy relative to the elements, uncorrected: -1.604 eV per atom
- Crystal system: monoclinic
- SG: C2/m, No. 12

CIF file:
```
data_Y6BiSe5
_space_group_name_H-M_alt 'P 1'
_space_group_IT_number 1
_cell_length_a 7.189
_cell_length_b 7.231
_cell_length_c 7.183
_cell_angle_alpha 80.43
_cell_angle_beta 59.97
_cell_angle_gamma 70.60
loop_
_space_group_symop_operation_xyz
'x,y,z'
loop_
_atom_site_label
_atom_site_fract_x
_atom_site_fract_y
_atom_site_fract_z
_atom_site_occupancy
Se1 0.840 0.500 0.320 1
Se2 0.500 0.500 0.000 1
Se3 0.668 0.000 0.664 1
Se4 0.160 0.500 0.680 1
Se5 0.332 0.000 0.336 1
Bi1 0.000 0.000 0.000 1
Y1 0.738 0.740 0.000 1
Y2 0.911 0.266 0.654 1
Y3 0.089 0.734 0.346 1
Y4 0.435 0.734 0.654 1
Y5 0.565 0.266 0.346 1
Y6 0.262 0.260 0.000 1
```

Entry 7:
An optimized crystal structure of Th6Ge2Se3S, computed with GGA-PBE.

- Energy relative to the elements, uncorrected: -1.377 eV per atom
- Crystal system: monoclinic
- SG: C2/m, No. 12

CIF file:
```
data_Th6Ge2Se3S
_space_group_name_H-M_alt 'P 1'
_space_group_IT_number 1
_cell_length_a 4.251
_cell_length_b 8.382
_cell_length_c 9.460
_cell_angle_alpha 103.39
_cell_angle_beta 102.98
_cell_angle_gamma 90.00
loop_
_space_group_symop_operation_xyz
'x,y,z'
loop_
_atom_site_label
_atom_site_fract_x
_atom_site_fract_y
_atom_site_fract_z
_atom_site_occupancy
Th1 0.669 0.578 0.338 1
Th2 0.331 0.422 0.662 1
Th3 0.000 0.236 0.999 1
Th4 0.000 0.764 0.001 1
Th5 0.660 0.083 0.319 1
Th6 0.340 0.917 0.681 1
Se1 0.171 0.834 0.342 1
Se2 0.500 0.500 0.000 1
Se3 0.829 0.166 0.658 1
S1 0.500 0.000 0.000 1
Ge1 0.165 0.331 0.329 1
Ge2 0.835 0.669 0.671 1
```

Entry 8:
An optimized crystal structure of PbWSe2Br, computed with GGA-PBE.

- Polymorph energy (0 for the lowest one): 0.0 meV per atom
- Energy relative to the elements, uncorrected: 0.151 eV per atom
- Crystal system: tetragonal
- SG: P4/mmm, No. 123

CIF file:
```
data_PbWSe2Br
_space_group_name_H-M_alt 'P 1'
_space_group_IT_number 1
_cell_length_a 4.933
_cell_length_b 4.933
_cell_length_c 5.382
_cell_angle_alpha 90.00
_cell_angle_beta 90.00
_cell_angle_gamma 90.00
loop_
_space_group_symop_operation_xyz
'x,y,z'
loop_
_atom_site_label
_atom_site_fract_x
_atom_site_fract_y
_atom_site_fract_z
_atom_site_occupancy
W1 0.000 0.000 0.000 1
Se1 0.000 0.500 0.000 1
Se2 0.500 0.000 0.000 1
Br1 0.000 0.000 0.500 1
Pb1 0.500 0.500 0.500 1
```

Entry 9:
An optimized crystal structure of SrCaB3, computed with GGA-PBE.

- Polymorph energy (0 for the lowest one): 326.4 meV per atom
- Crystal system: cubic
- Formation enthalpy at 0 K: 10.72 eV per formula unit
- SG: Pm-3m, No. 221

CIF file:
```
data_SrCaB3
_space_group_name_H-M_alt 'P 1'
_space_group_IT_number 1
_cell_length_a 4.885
_cell_length_b 4.885
_cell_length_c 4.885
_cell_angle_alpha 90.00
_cell_angle_beta 90.00
_cell_angle_gamma 90.00
loop_
_space_group_symop_operation_xyz
'x,y,z'
loop_
_atom_site_label
_atom_site_fract_x
_atom_site_fract_y
_atom_site_fract_z
_atom_site_occupancy
B1 0.000 0.500 0.000 1
B2 0.000 0.000 0.500 1
B3 0.500 0.000 0.000 1
Ca1 0.500 0.500 0.500 1
Sr1 0.000 0.000 0.000 1
```

Entry 10:
An optimized crystal structure of YIr3, computed with GGA-PBE.

- Crystal system: monoclinic
- Formation enthalpy at 0 K: -0.46 eV per formula unit
- SG: P2/m, No. 10

CIF file:
```
data_YIr3
_space_group_name_H-M_alt 'P 1'
_space_group_IT_number 1
_cell_length_a 2.916
_cell_length_b 4.659
_cell_length_c 5.227
_cell_angle_alpha 90.00
_cell_angle_beta 77.34
_cell_angle_gamma 90.00
loop_
_space_group_symop_operation_xyz
'x,y,z'
loop_
_atom_site_label
_atom_site_fract_x
_atom_site_fract_y
_atom_site_fract_z
_atom_site_occupancy
Y1 0.750 0.500 0.750 1
Ir1 0.250 0.500 0.250 1
Ir2 0.391 0.000 0.473 1
Ir3 0.109 0.000 0.027 1
```

Entry 11:
An optimized crystal structure of Pm8Ir3RuI4, computed with GGA-PBE.

- Energy relative to the elements, uncorrected: -0.886 eV per atom
- Crystal system: trigonal
- SG: R-3m, No. 166

CIF file:
```
data_Pm8Ir3RuI4
_space_group_name_H-M_alt 'P 1'
_space_group_IT_number 1
_cell_length_a 8.347
_cell_length_b 9.408
_cell_length_c 8.346
_cell_angle_alpha 116.32
_cell_angle_beta 120.00
_cell_angle_gamma 90.00
loop_
_space_group_symop_operation_xyz
'x,y,z'
loop_
_atom_site_label
_atom_site_fract_x
_atom_site_fract_y
_atom_site_fract_z
_atom_site_occupancy
Pm1 0.774 0.316 0.042 1
Pm2 0.268 0.316 0.042 1
Pm3 0.226 0.684 0.452 1
Pm4 0.273 0.318 0.545 1
Pm5 0.732 0.684 0.958 1
Pm6 0.226 0.684 0.958 1
Pm7 0.727 0.682 0.455 1
Pm8 0.774 0.316 0.548 1
I1 0.000 0.000 0.500 1
I2 0.000 0.000 0.000 1
I3 0.500 0.000 0.500 1
I4 0.500 0.000 0.000 1
Ir1 0.500 0.500 0.500 1
Ir2 0.000 0.500 0.500 1
Ir3 0.500 0.500 0.000 1
Ru1 0.000 0.500 0.000 1
```

Entry 12:
An optimized crystal structure of YEr2MgC, computed with GGA-PBE.

- Crystal system: tetragonal
- Formation enthalpy at 0 K: -1.06 eV per formula unit
- SG: P4/mmm, No. 123

CIF file:
```
data_YEr2MgC
_space_group_name_H-M_alt 'P 1'
_space_group_IT_number 1
_cell_length_a 5.011
_cell_length_b 4.915
_cell_length_c 4.915
_cell_angle_alpha 90.00
_cell_angle_beta 90.00
_cell_angle_gamma 90.00
loop_
_space_group_symop_operation_xyz
'x,y,z'
loop_
_atom_site_label
_atom_site_fract_x
_atom_site_fract_y
_atom_site_fract_z
_atom_site_occupancy
C1 0.000 0.000 0.000 1
Y1 0.500 0.000 0.000 1
Mg1 0.500 0.500 0.500 1
Er1 0.000 0.500 0.000 1
Er2 0.000 0.000 0.500 1
```

Total magnetic moment across the listed records, respectively: 0.200, 0.344, 0.000, 1.400, 0.155, 0.000, 0.000, 0.047, 0.159, 0.000, 0.000, 0.149 μB per atom.
Calculated density across the listed records, respectively: 4.9, 12.6, 4.6, 1.7, 4.2, 6.2, 9.4, 8.0, 2.3, 16.0, 8.0, 6.3 Mg/m³.